[1]
VASP calculation (PBE) on crystalline CsRb2GaSe at its relaxed geometry.

abc: 7.3520 6.3045 7.3520
angles: 90.00 90.00 90.00
Last column: nearest neighbours and their distance in Å.
Sites, in units of the cell vectors:
Cs (0.0000, 0.0000, 0.0000)  2 Se 3.15
Ga (0.5000, 0.5000, 0.5000)  8 Rb 4.84, 4 Se 5.20
Se (0.0000, 0.5000, 0.0000)  2 Cs 3.15
Rb (0.0000, 0.0000, 0.5000)  2 Cs 3.68
Rb (0.5000, 0.0000, 0.0000)  2 Cs 3.68

Output
Total magnetic moment ... 0.00 μB/atom
E ... -1.6331 eV/atom
Space group ... No. 123
Raw formation energy ... 0.23 eV/atom
Crystal system ... tetragonal
DOS(E_F) ... 2.0 states/eV per cell

=====

[2]
VASP calculation (PBE) on crystalline BaTcRu at its relaxed geometry.

abc: 4.1119 4.1119 5.3692
angles: 90.00 90.00 120.00
Last column: nearest neighbours and their distance in Å.
Sites, in units of the cell vectors:
Ba (0.0000, 0.0000, 0.0013)  6 Ru 3.46-3.71, 6 Tc 3.47-3.70
Ru (0.6667, 0.3333, 0.4695)  3 Tc 2.40
Tc (0.3333, 0.6667, 0.5291)  3 Ru 2.40

Output
Energy above the lowest structure with this stoichiometry ... 0.000 kcal/mol of atoms
Total magnetic moment ... 0.00 μB/atom
E ... -6.7082 eV/atom
Energy of formation from the pure elements ... 1.44 eV/f.u.
Space group ... No. 156
Crystal system ... trigonal
DOS(E_F) ... 5.1 states/eV per cell

=====

[3]
VASP calculation (PBE) on crystalline RbAgTeN2 at its relaxed geometry.

abc: 5.1299 5.1299 7.3145
angles: 90.00 90.00 90.00
Last column: nearest neighbours and their distance in Å.
Sites, in units of the cell vectors:
Te (0.0000, 0.0000, 0.5000)  4 Ag 3.63, 2 Rb 3.66
Rb (0.0000, 0.0000, 0.0000)  4 N 2.56
Ag (0.5000, 0.5000, 0.5000)  4 Te 3.63
N (0.0000, 0.5000, 0.0000)  2 Rb 2.56
N (0.5000, 0.0000, 0.0000)  2 Rb 2.56

Output
Energy above the lowest structure with this stoichiometry ... 15.058 kcal/mol of atoms
Total magnetic moment ... 1.17 μB/atom
E ... -2.5891 eV/atom
Space group ... No. 123
Raw formation energy ... 2.13 eV/atom
Crystal system ... tetragonal
DOS(E_F) ... 5.0 states/eV per cell

=====

no.,theoretical density (g/cm3)
1,2.205
2,7.105
3,3.010